No. 1
Material: Cs3K3SrBr8
Method: DFT, PBE
State: optimized geometry

For the formation energy without anion corrections, the calculation gives -1.8423 eV/atom. Its total magnetization is 0.00 μB/atom. The value obtained for the density of states at the Fermi level is 0.00 states/eV/atom.

```
data_Cs3K3SrBr8
_chemical_formula_sum 'Cs9 K9 Sr3 Br24'
_cell_length_a 9.7083
_cell_length_b 9.7083
_cell_length_c 25.1524
_cell_angle_alpha 90.00
_cell_angle_beta 90.00
_cell_angle_gamma 120.00
_space_group_name_H-M_alt 'R -3 m'
_space_group_IT_number 166
_space_group_name_Hall '-R 3 2"'
loop_
_atom_site_label
_atom_site_type_symbol
_atom_site_fract_x
_atom_site_fract_y
_atom_site_fract_z
Cs1 Cs 0.0000 0.5000 0.0000
K1 K 0.0000 0.5000 0.5000
Sr1 Sr 0.0000 0.0000 0.5000
Br1 Br 0.0000 0.0000 0.2411
Br2 Br 0.0289 0.5144 0.2352
```

=====

No. 2
Material: Pr5Tl4Pd
Method: DFT, PBE
State: optimized geometry

The calculated formation energy comes out at -0.46 eV per atom. Its total magnetization is 0.00 μB/atom. The value obtained for the density of states at the Fermi level is 0.72 states/eV/atom.

```
data_Pr5Tl4Pd
_chemical_formula_sum 'Pr5 Tl4 Pd1'
_cell_length_a 3.707
_cell_length_b 3.707
_cell_length_c 21.168
_cell_angle_alpha 90.00
_cell_angle_beta 90.00
_cell_angle_gamma 90.00
_space_group_name_H-M_alt 'P 4/m m m'
_space_group_IT_number 123
_space_group_name_Hall '-P 4 2'
loop_
_atom_site_label
_atom_site_type_symbol
_atom_site_fract_x
_atom_site_fract_y
_atom_site_fract_z
Pr1 Pr 0.000 0.000 0.000
Pr2 Pr 0.000 0.000 0.208
Pr3 Pr 0.000 0.000 0.416
Tl1 Tl 0.500 0.500 0.104
Tl2 Tl 0.500 0.500 0.311
Pd1 Pd 0.500 0.500 0.500
```

=====

No. 3
Material: Si3Pt
Method: DFT, PBE
State: optimized geometry

For the formation energy without anion corrections, the calculation gives -0.0868 eV/atom. Its total magnetization is 0.00 μB/atom. The value obtained for the density of states at the Fermi level is 0.44 states/eV/atom.

```
data_Si3Pt
_chemical_formula_sum 'Si6 Pt2'
_cell_length_a 3.443
_cell_length_b 3.443
_cell_length_c 11.288
_cell_angle_alpha 90.00
_cell_angle_beta 90.00
_cell_angle_gamma 90.00
_space_group_name_H-M_alt 'I 4/m m m'
_space_group_IT_number 139
_space_group_name_Hall '-I 4 2'
loop_
_atom_site_label
_atom_site_type_symbol
_atom_site_fract_x
_atom_site_fract_y
_atom_site_fract_z
Si1 Si 0.000 0.000 0.000
Si2 Si 0.000 0.000 0.283
Pt1 Pt 0.000 0.000 0.500
```

=====

No. 4
Material: NpCu6Pd6
Method: DFT, PBE
State: optimized geometry

The calculated formation energy comes out at -0.20 eV per atom. Its total magnetization is 0.28 μB/atom. The value obtained for the density of states at the Fermi level is 1.21 states/eV/atom.

```
data_NpCu6Pd6
_chemical_formula_sum 'Np2 Cu12 Pd12'
_cell_length_a 5.016
_cell_length_b 8.609
_cell_length_c 8.878
_cell_angle_alpha 90.00
_cell_angle_beta 90.00
_cell_angle_gamma 90.00
_space_group_name_H-M_alt 'I m m m'
_space_group_IT_number 71
_space_group_name_Hall '-I 2 2'
loop_
_atom_site_label
_atom_site_type_symbol
_atom_site_fract_x
_atom_site_fract_y
_atom_site_fract_z
Np1 Np 0.000 0.000 0.000
Cu1 Cu 0.000 0.500 0.260
Cu2 Cu 0.250 0.250 0.250
Pd1 Pd 0.000 0.000 0.346
Pd2 Pd 0.000 0.313 0.500
Pd3 Pd 0.000 0.340 0.000
```

=====

No. 5
Material: YThNi
Method: DFT, PBE
State: optimized geometry

The calculated formation energy comes out at -0.17 eV per atom. Its total magnetization is 0.00 μB/atom. The value obtained for the density of states at the Fermi level is 1.21 states/eV/atom. Its energy above the lowest structure with this stoichiometry is 0.057 eV/atom.

```
data_YThNi
_chemical_formula_sum 'Y2 Th2 Ni2'
_cell_length_a 3.516
_cell_length_b 3.516
_cell_length_c 11.960
_cell_angle_alpha 90.00
_cell_angle_beta 90.00
_cell_angle_gamma 90.00
_space_group_name_H-M_alt 'I 4 m m'
_space_group_IT_number 107
_space_group_name_Hall 'I 4 -2'
loop_
_atom_site_label
_atom_site_type_symbol
_atom_site_fract_x
_atom_site_fract_y
_atom_site_fract_z
Y1 Y 0.000 0.000 0.000
Th1 Th 0.000 0.000 0.279
Ni1 Ni 0.000 0.000 0.653
```

=====

No. 6
Material: Tb2Ho6Pu
Method: DFT, PBE
State: optimized geometry

The calculated formation energy comes out at 0.34 eV per atom. Its total magnetization is 0.51 μB/atom. The value obtained for the density of states at the Fermi level is 1.46 states/eV/atom. Its energy above the lowest structure with this stoichiometry is 0.261 eV/atom.

```
data_Tb2Ho6Pu
_chemical_formula_sum 'Tb6 Ho18 Pu3'
_cell_length_a 7.2640
_cell_length_b 7.2640
_cell_length_c 18.8904
_cell_angle_alpha 90.00
_cell_angle_beta 90.00
_cell_angle_gamma 120.00
_space_group_name_H-M_alt 'R 3 m'
_space_group_IT_number 160
_space_group_name_Hall 'R 3 -2"'
loop_
_atom_site_label
_atom_site_type_symbol
_atom_site_fract_x
_atom_site_fract_y
_atom_site_fract_z
Tb1 Tb 0.0000 0.0000 0.0000
Tb2 Tb 0.0000 0.0000 0.1783
Ho1 Ho 0.1718 0.3437 0.3260
Ho2 Ho 0.1823 0.3647 0.5183
Pu1 Pu 0.0000 0.0000 0.4342
```